1:
VASP calculation (PBE) on TlRe2Te after structural relaxation.

```
4
Lattice="-3.046 0.494 0.502 0.849 -2.221 -2.031 0.118 -6.055 6.670" Properties=species:S:1:pos:R:3 pbc="T T T"
Re 0.002 -0.097 0.107
Re 0.057 -2.930 3.228
Te -1.069 -2.377 0.903
Tl -1.010 -5.404 4.238
```

Results
V: 19.301 Å³/atom
N(E_F): 0.773 states/eV/atom
SG: No. 65

2:
VASP calculation (PBE) on TlRe2Te after structural relaxation.

```
4
Lattice="5.589 -0.002 0.001 2.173 5.150 -0.001 -3.041 -3.841 2.691" Properties=species:S:1:pos:R:3 pbc="T T T"
Te 3.215 -0.634 1.346
Re 7.595 5.038 0.000
Re 4.048 2.685 0.000
Tl 1.507 1.941 1.345
```

Results
V: 19.361 Å³/atom
N(E_F): 0.906 states/eV/atom
SG: No. 71

3:
VASP calculation (PBE) on TlRe2Te after structural relaxation.

```
4
Lattice="-1.092 1.967 3.779 -2.994 -0.713 -0.495 1.000 -5.082 2.935" Properties=species:S:1:pos:R:3 pbc="T T T"
Tl -2.042 -3.362 3.719
Re -1.257 -2.663 1.023
Re -2.734 -0.947 -0.298
Te -1.045 -0.465 2.499
```

Results
V: 20.381 Å³/atom
N(E_F): 0.857 states/eV/atom
SG: No. 10

4:
VASP calculation (PBE) on TlRe2Te after structural relaxation.

```
4
Lattice="3.043 0.000 0.000 0.000 3.043 0.000 0.000 0.000 9.016" Properties=species:S:1:pos:R:3 pbc="T T T"
Te 0.000 0.000 4.023
Re 0.000 0.000 0.421
Tl 1.522 1.522 7.164
Re 1.522 1.522 1.916
```

Results
V: 20.878 Å³/atom
N(E_F): 0.731 states/eV/atom
SG: No. 99

Energy relative to the most stable one, in meV/atom: 1 810; 2 766; 3 725; 4 0

1:
VASP calculation (PBE) on TlRe2Te after structural relaxation.

```
4
Lattice="0.000 3.306 3.306 3.306 0.000 3.306 3.306 3.306 0.000" Properties=species:S:1:pos:R:3 pbc="T T T"
Re 1.653 1.653 1.653
Te 0.000 0.000 0.000
Tl 3.306 3.306 3.306
Re 4.960 4.960 4.960
```

Results
V: 18.074 Å³/atom
N(E_F): 0.956 states/eV/atom
SG: No. 225

2:
VASP calculation (PBE) on TlRe2Te after structural relaxation.

```
4
Lattice="4.698 -0.008 0.006 3.691 2.906 0.006 1.301 0.450 5.751" Properties=species:S:1:pos:R:3 pbc="T T T"
Te 7.268 2.511 4.323
Re 9.569 3.306 5.462
Re 4.968 1.716 3.184
Tl 2.423 0.837 1.441
```

Results
V: 19.669 Å³/atom
N(E_F): 0.963 states/eV/atom
SG: No. 12

Energy relative to the most stable one, in meV/atom: 1 98; 2 0

1:
VASP calculation (PBE) on ReTe2W after structural relaxation.

```
8
Lattice="-4.021 2.417 -3.773 -4.351 -3.318 2.511 -5.272 4.013 3.386" Properties=species:S:1:pos:R:3 pbc="T T T"
Te -7.044 2.709 2.037
Re 0.000 0.000 0.000
W -6.904 0.122 2.633
W -4.186 -0.451 -0.631
Te -11.329 2.183 1.463
Re -6.739 2.989 -0.509
Te -4.494 -0.796 1.987
Te -4.421 2.126 -1.241
```

Results
V: 27.647 Å³/atom
N(E_F): 0.802 states/eV/atom
SG: No. 122

2:
VASP calculation (PBE) on ReTe2W after structural relaxation.

```
4
Lattice="10.496 0.021 0.012 9.978 3.257 0.012 9.978 1.598 2.839" Properties=species:S:1:pos:R:3 pbc="T T T"
Re 23.310 3.732 2.192
Te 6.862 1.099 0.645
Te 0.727 0.116 0.068
W 14.778 2.366 1.389
```

Results
V: 24.018 Å³/atom
N(E_F): 0.346 states/eV/atom
SG: No. 160

3:
VASP calculation (PBE) on ReTe2W after structural relaxation.

```
4
Lattice="-3.209 3.282 2.265 -2.143 -2.537 3.894 4.937 0.560 -1.228" Properties=species:S:1:pos:R:3 pbc="T T T"
Re -0.474 2.107 2.059
Te 0.000 0.000 0.000
Te 0.059 -0.802 2.873
W -2.676 0.372 3.080
```

Results
V: 19.283 Å³/atom
N(E_F): 0.697 states/eV/atom
SG: No. 119

4:
VASP calculation (PBE) on ReTe2W after structural relaxation.

```
4
Lattice="0.000 3.320 3.320 3.320 0.000 3.320 3.320 3.320 0.000" Properties=species:S:1:pos:R:3 pbc="T T T"
Te 4.980 4.980 4.980
Re 3.320 3.320 3.320
Te 1.660 1.660 1.660
W 0.000 0.000 0.000
```

Results
V: 18.295 Å³/atom
N(E_F): 0.717 states/eV/atom
SG: No. 225

Energy relative to the most stable one, in meV/atom: 1 879; 2 0; 3 693; 4 392

1:
VASP calculation (PBE) on ReTe2W after structural relaxation.

```
4
Lattice="-5.450 0.086 0.498 -1.642 -4.302 2.960 2.902 4.641 0.038" Properties=species:S:1:pos:R:3 pbc="T T T"
W -1.143 -0.884 2.363
Re -3.047 1.310 1.133
Te -3.598 -2.139 1.754
Te -7.040 -4.185 3.433
```

Results
V: 19.733 Å³/atom
N(E_F): 1.145 states/eV/atom
SG: No. 71

2:
VASP calculation (PBE) on ReTe2W after structural relaxation.

```
4
Lattice="3.130 0.000 0.000 0.000 3.846 0.000 0.000 0.000 7.707" Properties=species:S:1:pos:R:3 pbc="T T T"
Te 0.000 0.000 7.009
W 0.000 0.000 4.259
Te 1.565 1.923 2.618
Re 1.565 1.923 5.382
```

Results
V: 23.196 Å³/atom
N(E_F): 0.915 states/eV/atom
SG: No. 25

3:
VASP calculation (PBE) on ReTe2W after structural relaxation.

```
4
Lattice="-2.055 6.278 -0.627 -3.420 2.911 -4.884 0.583 -4.816 4.527" Properties=species:S:1:pos:R:3 pbc="T T T"
Re -1.998 2.848 0.680
Te -2.683 1.170 -1.452
Te -5.240 8.795 -5.275
W -3.183 5.341 -3.204
```

Results
V: 22.830 Å³/atom
N(E_F): 0.730 states/eV/atom
SG: No. 44

Energy relative to the most stable one, in meV/atom: 1 810; 2 0; 3 257

1:
VASP calculation (PBE) on ReTe2W after structural relaxation.

```
4
Lattice="3.268 0.000 0.000 0.000 5.443 0.000 0.000 0.000 4.448" Properties=species:S:1:pos:R:3 pbc="T T T"
Te 1.634 2.722 0.000
W 1.634 0.000 2.224
Te 0.000 0.000 0.000
Re 0.000 2.722 2.224
```

Results
V: 19.780 Å³/atom
N(E_F): 1.237 states/eV/atom
SG: No. 47

2:
VASP calculation (PBE) on ReTe2W after structural relaxation.

```
4
Lattice="4.581 0.009 -0.001 3.445 3.020 -0.001 1.132 0.427 5.475" Properties=species:S:1:pos:R:3 pbc="T T T"
Te 0.001 0.001 0.002
W 6.869 2.592 4.106
Te 4.578 1.727 2.735
Re 2.290 0.864 1.369
```

Results
V: 18.900 Å³/atom
N(E_F): 1.017 states/eV/atom
SG: No. 12

Energy relative to the most stable one, in meV/atom: 1 478; 2 0

1:
VASP calculation (PBE) on ReTeW3 after structural relaxation.

```
5
Lattice="4.764 0.000 0.000 0.000 4.764 0.000 0.000 0.000 4.764" Properties=species:S:1:pos:R:3 pbc="T T T"
W 2.382 0.000 0.000
W 0.000 0.000 2.382
W 0.000 2.382 0.000
Re 2.382 2.382 2.382
Te 0.000 0.000 0.000
```

Results
V: 21.627 Å³/atom
N(E_F): 0.652 states/eV/atom
SG: No. 221

2:
VASP calculation (PBE) on ReTeW3 after structural relaxation.

```
5
Lattice="-1.361 3.889 2.493 -1.186 -2.806 3.730 4.465 0.440 1.751" Properties=species:S:1:pos:R:3 pbc="T T T"
Re 0.000 0.000 0.000
Te 0.959 0.762 3.987
W 2.232 0.220 0.875
W -0.593 -1.403 1.865
W -0.680 1.945 1.246
```

Results
V: 22.340 Å³/atom
N(E_F): 1.177 states/eV/atom
SG: No. 221

Energy relative to the most stable one, in meV/atom: 1 971; 2 0

1:
VASP calculation (PBE) on Re2Te2W after structural relaxation.

```
10
Lattice="-1.150 -4.458 -5.107 -0.967 -5.019 4.599 -4.015 0.890 0.127" Properties=species:S:1:pos:R:3 pbc="T T T"
Te -3.581 -6.705 0.402
Re -0.853 -3.473 -2.620
W -1.058 -4.739 -0.254
W 0.000 0.000 0.000
Te -2.863 -3.731 2.274
Re -0.507 -2.436 1.026
Te -2.550 -1.883 -0.783
Re -1.264 -6.005 2.112
Te -3.268 -4.857 -2.655
Re -1.609 -7.042 -1.534
```

Results
V: 19.454 Å³/atom
N(E_F): 1.021 states/eV/atom
SG: No. 127

2:
VASP calculation (PBE) on Re2Te2W after structural relaxation.

```
5
Lattice="-1.566 -3.526 1.497 -0.415 -1.452 -3.854 4.477 -4.798 -0.898" Properties=species:S:1:pos:R:3 pbc="T T T"
Te 0.960 -5.407 -0.289
Te 1.535 -4.369 -2.965
Re 0.123 -2.959 -1.121
Re 2.372 -6.817 -2.133
W 0.000 0.000 0.000
```

Results
V: 20.356 Å³/atom
N(E_F): 0.973 states/eV/atom
SG: No. 139

Energy relative to the most stable one, in meV/atom: 1 0; 2 371

1:
VASP calculation (PBE) on YReTe2 after structural relaxation.

```
4
Lattice="-1.794 -2.050 3.116 0.298 -3.229 -1.952 6.689 -2.819 1.998" Properties=species:S:1:pos:R:3 pbc="T T T"
Te 1.385 -2.439 1.942
Te 6.419 -5.345 0.181
Y 3.756 -3.271 0.011
Re 4.113 -6.113 1.096
```

Results
V: 28.528 Å³/atom
N(E_F): 0.675 states/eV/atom
SG: No. 6

2:
VASP calculation (PBE) on YReTe2 after structural relaxation.

```
4
Lattice="-7.172 -3.570 -4.785 -6.592 -6.114 -2.500 -8.545 -3.390 -1.604" Properties=species:S:1:pos:R:3 pbc="T T T"
Re -16.732 -9.805 -6.667
Te -0.306 -0.180 -0.122
Te -10.848 -6.357 -4.322
Y -5.577 -3.268 -2.222
```

Results
V: 23.744 Å³/atom
N(E_F): 1.362 states/eV/atom
SG: No. 166

3:
VASP calculation (PBE) on YReTe2 after structural relaxation.

```
4
Lattice="1.998 0.000 9.890 -0.999 1.730 9.890 -0.999 -1.730 9.890" Properties=species:S:1:pos:R:3 pbc="T T T"
Te 0.000 0.000 26.599
Re 0.000 0.000 14.835
Te 0.000 0.000 3.070
Y 0.000 0.000 0.000
```

Results
V: 25.638 Å³/atom
N(E_F): 0.622 states/eV/atom
SG: No. 166

Energy relative to the most stable one, in meV/atom: 1 0; 2 355; 3 377

1:
VASP calculation (PBE) on YReTe after structural relaxation.

```
3
Lattice="-2.141 1.745 3.749 -4.297 -1.419 1.098 -0.681 -2.677 3.749" Properties=species:S:1:pos:R:3 pbc="T T T"
Re -5.340 -1.763 6.447
Te 0.000 0.000 0.000
Y -3.560 -1.175 4.298
```

Results
V: 23.799 Å³/atom
N(E_F): 1.550 states/eV/atom
SG: No. 216

2:
VASP calculation (PBE) on YReTe after structural relaxation.

```
3
Lattice="6.345 -0.001 0.001 5.456 3.239 -0.001 0.889 0.247 3.231" Properties=species:S:1:pos:R:3 pbc="T T T"
Re 11.636 3.193 0.049
Y 7.980 2.191 1.131
Te 4.875 1.339 2.051
```

Results
V: 22.146 Å³/atom
N(E_F): 0.114 states/eV/atom
SG: No. 107

Energy relative to the most stable one, in meV/atom: 1 213; 2 0

1:
VASP calculation (PBE) on ZnRe2Te after structural relaxation.

```
4
Lattice="5.354 0.024 -0.011 2.320 4.826 0.011 -3.234 -3.380 2.606" Properties=species:S:1:pos:R:3 pbc="T T T"
Re 0.117 0.074 0.000
Te 2.979 -0.466 1.298
Zn 1.462 1.935 1.308
Re 3.720 2.351 0.000
```

Results
V: 16.824 Å³/atom
N(E_F): 1.136 states/eV/atom
SG: No. 71

2:
VASP calculation (PBE) on ZnRe2Te after structural relaxation.

```
4
Lattice="-1.287 -0.512 2.908 0.648 -3.144 -0.266 5.561 0.924 2.625" Properties=species:S:1:pos:R:3 pbc="T T T"
Zn 3.851 -1.135 3.289
Re 5.414 0.900 2.556
Te 1.071 -1.597 1.977
Re 2.928 0.486 1.382
```

Results
V: 16.126 Å³/atom
N(E_F): 0.764 states/eV/atom
SG: No. 123

3:
VASP calculation (PBE) on ZnRe2Te after structural relaxation.

```
4
Lattice="-0.243 -3.215 -3.711 1.838 -4.274 -1.589 -3.041 -3.507 1.232" Properties=species:S:1:pos:R:3 pbc="T T T"
Re -1.258 -10.704 -4.107
Re -0.429 -2.966 -1.059
Te -0.624 -5.459 -2.112
Zn -1.305 -8.363 -2.893
```

Results
V: 16.636 Å³/atom
N(E_F): 0.478 states/eV/atom
SG: No. 8

Energy relative to the most stable one, in meV/atom: 1 269; 2 117; 3 0

1:
VASP calculation (PBE) on ZnRe2Te after structural relaxation.

```
4
Lattice="-0.561 -1.468 4.264 -2.150 -2.761 -1.233 3.328 -3.542 -0.782" Properties=species:S:1:pos:R:3 pbc="T T T"
Te -1.061 -3.690 1.011
Re 1.044 -5.819 -1.866
Zn 1.678 -4.081 1.237
Re 0.722 -3.636 -1.157
```

Results
V: 20.347 Å³/atom
N(E_F): 0.618 states/eV/atom
SG: No. 10

2:
VASP calculation (PBE) on ZnRe2Te after structural relaxation.

```
4
Lattice="-0.400 -0.577 -2.789 -2.162 -0.566 1.810 -3.637 9.364 -1.416" Properties=species:S:1:pos:R:3 pbc="T T T"
Te -1.732 4.460 -0.674
Re -2.081 1.487 -0.801
Re -0.049 0.127 -0.019
Zn -4.155 6.829 -1.608
```

Results
V: 18.557 Å³/atom
N(E_F): 0.660 states/eV/atom
SG: No. 35

3:
VASP calculation (PBE) on ZnRe2Te after structural relaxation.

```
4
Lattice="8.575 0.001 0.001 8.040 2.982 0.001 8.040 1.444 2.609" Properties=species:S:1:pos:R:3 pbc="T T T"
Re 24.646 4.426 2.610
Zn 18.492 3.321 1.958
Re 12.338 2.216 1.307
Te 6.164 1.107 0.653
```

Results
V: 16.671 Å³/atom
N(E_F): 1.192 states/eV/atom
SG: No. 166

Energy relative to the most stable one, in meV/atom: 1 0; 2 14; 3 148